{
  "formula": "KVTeO5",
  "functional": "GGA+U",
  "state": "optimized geometry",
  "e_above_lowest_polymorph_mev_per_atom": 0,
  "magmom_total_mub_per_cell": 0.00,
  "lattice": [[11.8813, 0.0000, 0.0000], [0.0000, 6.5229, -0.0125], [0.0000, 2.0451, 6.7640]],
  "species": ["K", "K", "K", "K", "V", "V", "V", "V", "Te", "Te", "Te", "Te", "O", "O", "O", "O", "O", "O", "O", "O", "O", "O", "O", "O", "O", "O", "O", "O", "O", "O", "O", "O"],
  "frac_coords": [[0.3114, 0.1760, 0.8352], [0.8114, 0.8240, 0.6648], [0.6886, 0.8240, 0.1648], [0.1886, 0.1760, 0.3352], [0.1225, 0.6509, 0.5940], [0.6225, 0.3491, 0.9060], [0.8775, 0.3491, 0.4060], [0.3775, 0.6509, 0.0940], [0.9460, 0.2363, 0.8993], [0.4460, 0.7637, 0.6007], [0.0540, 0.7637, 0.1007], [0.5540, 0.2363, 0.3993], [0.0898, 0.1136, 0.9877], [0.5898, 0.8864, 0.5123], [0.9102, 0.8864, 0.0123], [0.4102, 0.1136, 0.4877], [0.0172, 0.5340, 0.7824], [0.5172, 0.4660, 0.7176], [0.9828, 0.4660, 0.2176], [0.4828, 0.5340, 0.2824], [0.2031, 0.8254, 0.6684], [0.7031, 0.1746, 0.8316], [0.7969, 0.1746, 0.3316], [0.2969, 0.8254, 0.1684], [0.4494, 0.8073, 0.8619], [0.9494, 0.1927, 0.6381], [0.5506, 0.1927, 0.1381], [0.0506, 0.8073, 0.3619], [0.2973, 0.4625, 0.0476], [0.7973, 0.5375, 0.4524], [0.7027, 0.5375, 0.9524], [0.2027, 0.4625, 0.5476]]
}